# Zn8Ag6Pd | Alexandria | PBE | relaxed
# Energy of formation from the pure elements: -0.306 kcal/mol of atoms
data_Zn8Ag6Pd
_space_group_name_H-M_alt 'R -3'
_space_group_IT_number 148
_space_group_name_Hall '-R 3'
_cell_length_a 7.6476
_cell_length_b 7.6476
_cell_length_c 14.7879
_cell_angle_alpha 90.00
_cell_angle_beta 90.00
_cell_angle_gamma 120.00
loop_
_atom_site_label
_atom_site_fract_x
_atom_site_fract_y
_atom_site_fract_z
Zn1 0.0000 0.0000 0.2444
Zn2 0.0470 0.4288 0.5670
Ag1 0.0201 0.2367 0.4073
Pd1 0.0000 0.0000 0.0000

# CdSnGe3 | Alexandria | PBE | relaxed
# Energy of formation from the pure elements: 17.943 kcal/mol of atoms
# ΔE to the lowest computed polymorph: 0.0000 eV/atom
data_CdSnGe3
_space_group_name_H-M_alt 'P m -3 m'
_space_group_IT_number 221
_space_group_name_Hall '-P 4 2 3'
_cell_length_a 5.1692
_cell_length_b 5.1692
_cell_length_c 5.1692
_cell_angle_alpha 90.00
_cell_angle_beta 90.00
_cell_angle_gamma 90.00
loop_
_atom_site_label
_atom_site_fract_x
_atom_site_fract_y
_atom_site_fract_z
Cd1 0.0000 0.0000 0.0000
Sn1 0.5000 0.5000 0.5000
Ge1 0.0000 0.0000 0.5000

# PmAlIr2 | Alexandria | PBE | relaxed
# Energy of formation from the pure elements: -1.722 kcal/mol of atoms
# ΔE to the lowest computed polymorph: 0.5655 eV/atom
data_PmAlIr2
_space_group_name_H-M_alt 'P m m a'
_space_group_IT_number 51
_cell_length_a 5.6686
_cell_length_b 6.9916
_cell_length_c 8.8785
_cell_angle_alpha 90.00
_cell_angle_beta 90.00
_cell_angle_gamma 90.00
loop_
_space_group_symop_operation_xyz
'x,y,z'
'-x,-y,-z'
'-x+1/2,-y,z'
'x+1/2,y,-z'
'x+1/2,-y,-z'
'-x+1/2,y,z'
'-x,y,-z'
'x,-y,z'
loop_
_atom_site_label
_atom_site_fract_x
_atom_site_fract_y
_atom_site_fract_z
Pm1 0.2500 0.0000 0.1183
Pm2 0.2500 0.5000 0.2932
Al1 0.2500 0.0000 0.7376
Al2 0.2500 0.5000 0.7837
Ir1 0.0000 0.0000 0.5000
Ir2 0.0000 0.5000 0.0000
Ir3 0.2500 0.3025 0.5614

# OsAuI2N | Alexandria | PBE | relaxed
# Raw formation energy: 3.1 eV/f.u.
# ΔE to the lowest computed polymorph: 0.0000 eV/atom
data_OsAuI2N
_space_group_name_H-M_alt 'P 4/m m m'
_space_group_IT_number 123
_space_group_name_Hall '-P 4 2'
_cell_length_a 5.5729
_cell_length_b 5.5729
_cell_length_c 3.7259
_cell_angle_alpha 90.00
_cell_angle_beta 90.00
_cell_angle_gamma 90.00
loop_
_atom_site_label
_atom_site_fract_x
_atom_site_fract_y
_atom_site_fract_z
Os1 0.0000 0.0000 0.0000
Au1 0.5000 0.5000 0.5000
I1 0.0000 0.5000 0.0000
N1 0.0000 0.0000 0.5000

| no. | final energy (eV per atom) |
| --- | --- |
| 1 | -2.18 |
| 2 | -2.98 |
| 3 | -6.63 |
| 4 | -4.57 |